Below is TbPrTh3 after structural relaxation, with properties calculated at the PBE level.

Cell and atoms, written as POSCAR:
```
TbPrTh3
1.0
-4.995 5.965 3.007
4.995 -5.965 3.007
4.995 5.965 -3.007
Tb Pr Th
2 2 6
direct
0.448 0.198 0.250
0.552 0.802 0.750
0.000 0.000 0.500
0.000 0.500 0.000
0.000 0.169 0.169
0.000 0.500 0.500
0.000 0.831 0.831
0.500 0.169 0.669
0.500 0.500 0.000
0.500 0.831 0.331
```

Output
- Energy: -5.9703 eV/atom
- Total magnetization: 0.0 μB per cell
- Density: 9229 kg/m³
- Symmetry: Imma

Below is Tb3Pr2Th after structural relaxation, with properties calculated at the PBE level.

Cell and atoms, written as POSCAR:
```
Tb3Pr2Th
1.0
4.553 -4.964 0.000
4.553 4.964 0.000
-1.871 0.000 8.931
Tb Pr Th
6 4 2
direct
0.082 0.918 0.750
0.171 0.337 0.002
0.337 0.171 0.502
0.663 0.829 0.498
0.829 0.663 0.998
0.918 0.082 0.250
0.124 0.626 0.376
0.374 0.876 0.124
0.626 0.124 0.876
0.876 0.374 0.624
0.416 0.584 0.750
0.584 0.416 0.250
```

Output
- Energy: -5.0317 eV/atom
- Total magnetization: 0.0 μB per cell
- Density: 8150 kg/m³
- Symmetry: C2/c